1.
Here is a geometry-optimized Mg3ScHg structure from Alexandria. Energies are from PBE-GGA.

The structure in POSCAR format:
```
Mg3ScHg
1.0
-0.7041 -0.0139 -3.3349
-1.7956 -9.8103 0.4200
-12.7816 2.4545 2.6883
Mg Sc Hg
12 4 4
Cartesian
-2.3849 -5.4208 -0.3448
-12.8964 -1.9489 0.1182
-5.5259 0.2599 0.2947
-9.7554 -7.6297 -0.5213
-9.8629 -2.4684 1.2217
-3.1924 -0.2512 -1.9376
-12.0889 -7.1185 1.7110
-10.8151 -4.8864 -0.3090
-4.4662 -2.4834 0.0824
-10.9385 0.2149 -0.3042
-5.4184 -4.9014 -1.4483
-4.3428 -7.5847 0.0776
-2.1252 -8.3939 -2.1290
-7.7842 -5.0850 0.7937
-7.4971 -2.2847 -1.0204
-13.1561 1.0242 1.9024
-8.3036 -0.0689 0.8825
-12.6938 -4.3035 1.8270
-2.5875 -3.0663 -2.0536
-6.9777 -7.3008 -1.1091
```

Computed properties:
D(E_F)	14.0	states/eV/cell
excess energy over the best structure of this formula in the dataset	0	meV/atom
total energy	-48.507	eV for the cell shown


2.
Here is a geometry-optimized MgSc6Hg5 structure from Alexandria. Energies are from PBE-GGA.

The structure in POSCAR format:
```
MgSc6Hg5
1.0
4.7449 0.0197 -1.3845
-0.9741 6.2392 -3.2491
-0.0572 0.4452 8.6331
Sc Mg Hg
6 1 5
Cartesian
3.3377 3.9135 2.6713
3.8201 0.8240 4.2802
1.6527 4.6199 -3.0930
2.1181 1.6391 -1.5407
-0.1065 5.8802 -0.2807
0.3759 2.7907 1.3281
0.0000 0.0000 0.0000
2.9267 1.0936 1.2227
1.2148 2.3752 4.1969
-0.4871 3.1196 -1.6246
2.4988 4.3290 -0.1974
0.7869 5.6105 2.7768
```

Computed properties:
D(E_F)	11.6	states/eV/cell
total energy	-45.645	eV for the cell shown


3.
Here is a geometry-optimized MgSc5Hg structure from Alexandria. Energies are from PBE-GGA.

The structure in POSCAR format:
```
MgSc5Hg
1.0
-7.0947 2.0128 2.3579
0.6137 -5.3879 5.5262
1.1938 3.2625 4.7161
Mg Sc Hg
2 10 2
Cartesian
-2.4289 -1.3646 5.3320
-2.8583 1.2520 7.2682
-3.7337 -1.8486 8.0815
0.5286 -2.4394 5.2499
-4.4405 1.0343 9.9036
-4.7365 0.8508 4.3835
-1.6023 -3.9227 6.9694
-3.6848 3.8101 5.6308
-0.5507 -0.9635 8.2167
-0.8467 -1.1469 2.6965
-5.8157 2.3267 7.3502
-1.5535 1.7360 4.5187
0.0000 0.0000 0.0000
0.5969 1.6312 2.3580
```

Computed properties:
D(E_F)	22.0	states/eV/cell
total energy	-67.141	eV for the cell shown


4.
Here is a geometry-optimized SmMgScHg structure from Alexandria. Energies are from PBE-GGA.

The structure in POSCAR format:
```
SmMgScHg
1.0
-1.8808 -3.1034 3.7368
1.7813 -4.8710 0.4816
2.9909 -1.2894 4.0650
Sc Mg Hg Sm
1 1 1 1
Cartesian
0.0000 0.0000 0.0000
0.7229 -2.3160 2.0708
2.1686 -6.9479 6.2125
1.4457 -4.6319 4.1416
```

Computed properties:
D(E_F)	4.2	states/eV/cell
excess energy over the best structure of this formula in the dataset	15	meV/atom
total energy	-13.901	eV for the cell shown